PrHg2I8 | the Alexandria database | GGA-PBE | relaxed; total DFT energy (no corrections) = -24.410 eV/f.u.; ΔE_f (raw) = -58 kJ/mol of atoms; theoretical density = 4.445 Mg/m³
1.0
6.259 -6.372 0.000
6.259 6.372 0.000
-1.421 0.000 7.293
Pr Hg I
1 2 8
direct
0.000 0.000 0.000
0.216 0.216 0.677
0.784 0.784 0.323
0.074 0.720 0.214
0.222 0.222 0.290
0.280 0.926 0.786
0.446 0.446 0.785
0.554 0.554 0.215
0.720 0.074 0.214
0.778 0.778 0.710
0.926 0.280 0.786


AlV5Ga2 | the Alexandria database | GGA-PBE | relaxed; total DFT energy (no corrections) = -56.133 eV/f.u.; formation energy from the elements = -0.093 eV/atom; energy relative to the lowest polymorph listed for this composition = 23 meV per atom; theoretical density = 6.253 Mg/m³
1.0
-2.216 2.216 5.695
2.216 -2.216 5.695
2.216 2.216 -5.695
Al V Ga
1 5 2
direct
0.000 0.000 0.000
0.128 0.628 0.500
0.372 0.872 0.500
0.500 0.500 0.000
0.628 0.128 0.500
0.872 0.372 0.500
0.255 0.255 0.000
0.745 0.745 0.000


Q: What is the theoretical density in the first record?
A: 4.445 Mg/m³


Q: Look up the theoretical density of the second one.
A: 6.253 Mg/m³


Q: theoretical density of number 1 (PrHg2I8)?
A: 4.445 Mg/m³